Entry 1:
BiH2F2 meta-GGA SCAN PBEsol geometry; space group = No. 139; V = 53 Å³ per cell; final energy = -19.42 eV per atom
1.0
-0.6833 -2.0977 -3.5058
3.3808 -1.0604 2.1455
-2.7146 -0.6159 3.0675
H Bi F
2 1 2
Direct
0.0000 0.5724 0.5724 H
0.0000 0.4276 0.4276 H
0.0000 0.0000 0.0000 Bi
0.5000 0.7500 0.2500 F
0.5000 0.2500 0.7500 F


Entry 2:
HfBi3F meta-GGA SCAN PBEsol geometry; space group = No. 221; formation energy (no corrections) = -0.087 eV/atom; V = 121 Å³ per cell; final energy = -60.48 eV per atom
1.0
4.9403 0.0000 0.0000
0.0000 4.9403 0.0000
0.0000 0.0000 4.9403
Hf Bi F
1 3 1
Direct
0.5000 0.5000 0.5000 Hf
0.0000 0.5000 0.0000 Bi
0.0000 0.0000 0.5000 Bi
0.5000 0.0000 0.0000 Bi
0.0000 0.0000 0.0000 F


Entry 3:
HfBiNF2 meta-GGA SCAN PBEsol geometry; space group = No. 123; formation energy (no corrections) = -1.652 eV/atom; V = 75 Å³ per cell; final energy = -33.18 eV per atom
1.0
-2.7391 2.2842 2.1691
-2.8967 -0.6971 -2.9238
-1.2739 -3.5238 2.1022
N Hf Bi F
1 1 1 2
Direct
0.0000 0.0000 0.5000 N
0.0000 0.0000 0.0000 Hf
0.5000 0.5000 0.5000 Bi
0.0000 0.5000 0.0000 F
0.5000 0.0000 0.0000 F


Entry 4:
HgBiF3 meta-GGA SCAN PBEsol geometry; space group = No. 221; formation energy (no corrections) = -0.947 eV/atom; V = 91 Å³ per cell; final energy = -32.42 eV per atom
1.0
4.5047 0.0000 0.0000
0.0000 4.5047 0.0000
0.0000 0.0000 4.5047
F Hg Bi
3 1 1
Direct
0.0000 0.5000 0.0000 F
0.0000 0.0000 0.5000 F
0.5000 0.0000 0.0000 F
0.0000 0.0000 0.0000 Hg
0.5000 0.5000 0.5000 Bi


Entry 5:
MnHgBiF2 meta-GGA SCAN PBEsol geometry; space group = No. 123; formation energy (no corrections) = -0.478 eV/atom; V = 106 Å³ per cell; final energy = -34.89 eV per atom
1.0
-4.0495 0.7464 -1.2461
0.2310 -3.3127 -2.7351
-1.9079 -3.5141 4.0950
F Mn Bi Hg
2 1 1 1
Direct
0.0000 0.5000 0.0000 F
0.5000 0.0000 0.0000 F
0.0000 0.0000 0.5000 Mn
0.5000 0.5000 0.5000 Bi
0.0000 0.0000 0.0000 Hg


Entry 6:
HgBiNF2 meta-GGA SCAN PBEsol geometry; space group = No. 123; formation energy (no corrections) = -0.419 eV/atom; V = 90 Å³ per cell; final energy = -33.04 eV per atom
1.0
-2.6908 2.9158 -2.0021
-3.3311 -2.9350 0.2026
-1.2168 1.6609 4.0543
N F Bi Hg
1 2 1 1
Direct
0.0000 0.0000 0.5000 N
0.0000 0.5000 0.0000 F
0.5000 0.0000 0.0000 F
0.0000 0.0000 0.0000 Bi
0.5000 0.5000 0.5000 Hg


Entry 7:
Sc2HgBiF meta-GGA SCAN PBEsol geometry; space group = No. 123; formation energy (no corrections) = -0.303 eV/atom; V = 136 Å³ per cell; final energy = -36.05 eV per atom
1.0
-2.1737 3.7966 -0.4464
-4.3173 -2.7291 -2.1878
-2.1658 -0.6432 5.0764
Sc F Bi Hg
2 1 1 1
Direct
0.0000 0.0000 0.5000 Sc
0.0000 0.5000 0.0000 Sc
0.5000 0.0000 0.0000 F
0.0000 0.0000 0.0000 Bi
0.5000 0.5000 0.5000 Hg


Entry 8:
BiINF2 meta-GGA SCAN PBEsol geometry; space group = No. 123; formation energy (no corrections) = -0.316 eV/atom; V = 92 Å³ per cell; final energy = -26.65 eV per atom
1.0
-1.1073 0.9521 4.1429
-4.1349 -1.2343 -0.8215
1.0664 -4.4416 1.3058
I N Bi F
1 1 1 2
Direct
0.5000 0.5000 0.5000 I
0.0000 0.0000 0.5000 N
0.0000 0.0000 0.0000 Bi
0.0000 0.5000 0.0000 F
0.5000 0.0000 0.0000 F


Entry 9:
BiIN2F meta-GGA SCAN PBEsol geometry; space group = No. 123; formation energy (no corrections) = 1.738 eV/atom; V = 89 Å³ per cell; final energy = -25.75 eV per atom
1.0
-3.2289 -0.7243 2.4940
-0.7773 -4.0161 -2.1727
2.7970 -2.1608 2.9936
I N Bi F
1 2 1 1
Direct
0.5000 0.0000 0.0000 I
0.0000 0.0000 0.5000 N
0.0000 0.5000 0.0000 N
0.5000 0.5000 0.5000 Bi
0.0000 0.0000 0.0000 F


Entry 10:
BiTe2IF meta-GGA SCAN PBEsol geometry; space group = No. 123; formation energy (no corrections) = 0.372 eV/atom; V = 212 Å³ per cell; final energy = -38.30 eV per atom
1.0
5.9619 0.0000 0.0000
0.0000 5.9570 0.0000
0.0000 0.0000 5.9570
I Te Bi F
1 2 1 1
Direct
0.5000 0.0000 0.0000 I
0.0000 0.0000 0.5000 Te
0.0000 0.5000 0.0000 Te
0.0000 0.0000 0.0000 Bi
0.5000 0.5000 0.5000 F


Entry 11:
BiTeI2F meta-GGA SCAN PBEsol geometry; space group = No. 123; formation energy (no corrections) = 0.174 eV/atom; V = 216 Å³ per cell; final energy = -38.40 eV per atom
1.0
5.9459 0.0000 0.0000
0.0000 5.9459 0.0000
0.0000 0.0000 6.0963
I Te Bi F
2 1 1 1
Direct
0.0000 0.5000 0.0000 I
0.5000 0.0000 0.0000 I
0.0000 0.0000 0.5000 Te
0.0000 0.0000 0.0000 Bi
0.5000 0.5000 0.5000 F


Entry 12:
InBi3F meta-GGA SCAN PBEsol geometry; space group = No. 221; formation energy (no corrections) = 0.483 eV/atom; V = 180 Å³ per cell; final energy = -54.05 eV per atom
1.0
-0.7720 2.3736 5.0594
-4.3826 -3.4263 0.9387
3.4676 -3.8019 2.3127
F Bi In
1 3 1
Direct
0.5000 0.5000 0.5000 F
0.0000 0.5000 0.0000 Bi
0.0000 0.0000 0.5000 Bi
0.5000 0.0000 0.0000 Bi
0.0000 0.0000 0.0000 In


Entry 13:
InBiO2F meta-GGA SCAN PBEsol geometry; space group = No. 123; formation energy (no corrections) = -1.231 eV/atom; V = 73 Å³ per cell; final energy = -26.82 eV per atom
1.0
-0.0367 3.0576 -2.8643
-3.9409 0.9471 1.0615
1.4171 2.6938 2.8574
F Bi O In
1 1 2 1
Direct
0.0000 0.0000 0.5000 F
0.5000 0.5000 0.5000 Bi
0.0000 0.5000 0.0000 O
0.5000 0.0000 0.0000 O
0.0000 0.0000 0.0000 In


Entry 14:
Rb2InBiF6 meta-GGA SCAN PBEsol geometry; space group = No. 225; formation energy (no corrections) = -2.420 eV/atom; V = 217 Å³ per cell; final energy = -19.89 eV per atom
1.0
6.7446 0.0000 0.0000
3.3723 5.8410 0.0000
3.3723 1.9470 5.5070
F Bi Rb In
6 1 2 1
Direct
0.2635 0.7365 0.2635 F
0.2635 0.2635 0.7365 F
0.7365 0.7365 0.2635 F
0.7365 0.2635 0.2635 F
0.2635 0.7365 0.7365 F
0.7365 0.2635 0.7365 F
0.5000 0.5000 0.5000 Bi
0.2500 0.2500 0.2500 Rb
0.7500 0.7500 0.7500 Rb
0.0000 0.0000 0.0000 In


Entry 15:
BiIrF2 meta-GGA SCAN PBEsol geometry; space group = No. 225; formation energy (no corrections) = -0.064 eV/atom; V = 59 Å³ per cell; final energy = -39.25 eV per atom
1.0
-3.2018 -2.9546 0.3838
0.9739 -4.1899 0.7906
-0.8995 -1.7552 3.9037
Ir Bi F
1 1 2
Direct
0.0000 0.0000 0.0000 Ir
0.5000 0.5000 0.5000 Bi
0.2500 0.2500 0.2500 F
0.7500 0.7500 0.7500 F


Entry 16:
BiIr2F meta-GGA SCAN PBEsol geometry; space group = No. 225; formation energy (no corrections) = 0.442 eV/atom; V = 62 Å³ per cell; final energy = -55.64 eV per atom
1.0
-3.4719 2.3777 -1.4108
-3.5258 -2.0469 -1.7541
-3.8320 -0.1268 2.2356
Ir Bi F
2 1 1
Direct
0.2500 0.2500 0.2500 Ir
0.7500 0.7500 0.7500 Ir
0.5000 0.5000 0.5000 Bi
0.0000 0.0000 0.0000 F


Entry 17:
LiBiIr2F meta-GGA SCAN PBEsol geometry; space group = No. 123; formation energy (no corrections) = 0.829 eV/atom; V = 86 Å³ per cell; final energy = -44.51 eV per atom
1.0
4.2529 0.0000 0.0000
0.0000 4.2529 0.0000
0.0000 0.0000 4.7565
Ir Li Bi F
2 1 1 1
Direct
0.0000 0.5000 0.0000 Ir
0.5000 0.0000 0.0000 Ir
0.5000 0.5000 0.5000 Li
0.0000 0.0000 0.5000 Bi
0.0000 0.0000 0.0000 F


Entry 18:
BiIrOF2 meta-GGA SCAN PBEsol geometry; space group = No. 123; formation energy (no corrections) = -0.055 eV/atom; V = 89 Å³ per cell; final energy = -32.65 eV per atom
1.0
4.4218 0.0000 0.0000
0.0000 4.4218 0.0000
0.0000 0.0000 4.5355
Ir Bi O F
1 1 1 2
Direct
0.5000 0.5000 0.5000 Ir
0.0000 0.0000 0.0000 Bi
0.0000 0.0000 0.5000 O
0.0000 0.5000 0.0000 F
0.5000 0.0000 0.0000 F


Entry 19:
K2BiF5 meta-GGA SCAN PBEsol geometry; space group = No. 62; formation energy (no corrections) = -2.746 eV/atom; V = 554 Å³ per cell; final energy = -16.86 eV per atom
1.0
6.5691 0.0000 0.0000
0.0000 7.4441 0.0000
0.0000 0.0000 11.3350
K Bi F
8 4 20
Direct
0.0006 0.9996 0.3303 K
0.0006 0.5004 0.3303 K
0.5006 0.4996 0.1697 K
0.4994 0.5004 0.8303 K
0.9994 0.4996 0.6697 K
0.4994 0.9996 0.8303 K
0.5006 0.0004 0.1697 K
0.9994 0.0004 0.6697 K
0.9404 0.7500 0.9562 Bi
0.5596 0.7500 0.4562 Bi
0.4404 0.2500 0.5438 Bi
0.0596 0.2500 0.0438 Bi
0.2209 0.2500 0.2180 F
0.1075 0.5469 0.0960 F
0.3005 0.7500 0.3299 F
0.3925 0.5469 0.5960 F
0.6075 0.4531 0.4040 F
0.2791 0.2500 0.7180 F
0.1064 0.2500 0.4898 F
0.3936 0.2500 0.9898 F
0.7209 0.7500 0.2820 F
0.1075 0.9531 0.0960 F
0.6995 0.2500 0.6701 F
0.1995 0.7500 0.8299 F
0.7791 0.7500 0.7820 F
0.6075 0.0469 0.4040 F
0.6064 0.7500 0.0102 F
0.8936 0.7500 0.5102 F
0.3925 0.9531 0.5960 F
0.8925 0.0469 0.9040 F
0.8005 0.2500 0.1701 F
0.8925 0.4531 0.9040 F


Entry 20:
KBi3F10 meta-GGA SCAN PBEsol geometry; space group = No. 225; formation energy (no corrections) = -2.545 eV/atom; V = 425 Å³ per cell; final energy = -22.51 eV per atom
1.0
-2.6142 -6.8499 4.1743
3.9691 -7.3666 -1.0767
4.7121 -3.2019 6.2228
K Bi F
2 6 20
Direct
0.2500 0.2500 0.2500 K
0.7500 0.7500 0.7500 K
0.7598 0.2402 0.2402 Bi
0.2402 0.7598 0.7598 Bi
0.7598 0.2402 0.7598 Bi
0.2402 0.7598 0.2402 Bi
0.7598 0.7598 0.2402 Bi
0.2402 0.2402 0.7598 Bi
0.1696 0.5000 0.5000 F
0.8304 0.5000 0.5000 F
0.5000 0.1696 0.8304 F
0.5000 0.8304 0.1696 F
0.1696 0.5000 0.8304 F
0.5000 0.8304 0.5000 F
0.8304 0.5000 0.1696 F
0.5000 0.1696 0.5000 F
0.1696 0.8304 0.5000 F
0.8304 0.1696 0.5000 F
0.5000 0.5000 0.8304 F
0.5000 0.5000 0.1696 F
0.6547 0.1151 0.1151 F
0.3453 0.8849 0.8849 F
0.1151 0.6547 0.1151 F
0.1151 0.1151 0.6547 F
0.8849 0.3453 0.8849 F
0.8849 0.8849 0.3453 F
0.1151 0.1151 0.1151 F
0.8849 0.8849 0.8849 F